DFT (GGA-PBE) results for a geometry-optimized SmMg8Pd4 structure.

Output
M_tot ... 0.00 μB per cell
DOS(E_F) ... 5.92 states/eV/cell
DFT formation energy ... -6.49 eV per formula unit
Crystal system ... tetragonal
Calculated volume ... 253 Å³ per cell
Space group ... I4/mmm (139)

Lattice parameters (Å, degrees): 5.6721 7.2515 7.2515 81.20 66.98 66.98
Last column: nearest neighbours and their distance in Å.
Element x y z (fractional)
Mg  0.2799  0.2201  0.2201  4 Pd 2.77, 6 Mg 2.94-3.06
Mg  0.6635  0.3365  0.3365  4 Pd 2.87, 5 Mg 3.04-3.09, 1 Sm 3.18
Mg  0.0000  0.3365  0.6635  4 Pd 2.87, 5 Mg 3.04-3.09, 1 Sm 3.18
Mg  0.5000  0.7799  0.2201  4 Pd 2.77, 6 Mg 2.94-3.06
Mg  0.7201  0.7799  0.7799  4 Pd 2.77, 6 Mg 2.94-3.06
Mg  0.0000  0.6635  0.3365  4 Pd 2.87, 5 Mg 3.04-3.09, 1 Sm 3.18
Mg  0.5000  0.2201  0.7799  4 Pd 2.77, 6 Mg 2.94-3.06
Mg  0.3365  0.6635  0.6635  4 Pd 2.87, 5 Mg 3.04-3.09, 1 Sm 3.18
Sm  0.0000  0.0000  0.0000  12 Mg 3.18-3.52
Pd  0.5000  0.5000  0.0000  8 Mg 2.77-2.87, 2 Pd 2.84
Pd  0.0000  0.5000  0.0000  8 Mg 2.77-2.87, 2 Pd 2.84
Pd  0.5000  0.0000  0.5000  8 Mg 2.77-2.87, 2 Pd 2.84
Pd  0.0000  0.0000  0.5000  8 Mg 2.77-2.87, 2 Pd 2.84

---

DFT (GGA-PBE) results for a geometry-optimized K3Rb3Na5 structure.

Output
M_tot ... 0.00 μB per cell
DOS(E_F) ... 10.36 states/eV/cell
DFT formation energy ... 1.26 eV per formula unit
Crystal system ... hexagonal
Calculated volume ... 815 Å³ per cell
Space group ... P-62m (189)

Lattice parameters (Å, degrees): 7.4722 11.2205 11.2205 120.00 90.00 90.00
Last column: nearest neighbours and their distance in Å.
Element x y z (fractional)
Na  0.5000  0.3932  0.0000  2 Na 3.45, 2 K 3.85
Na  0.5000  0.3333  0.6667  3 Na 3.45
Na  0.5000  0.6068  0.6068  2 Na 3.45, 2 K 3.85
Na  0.5000  0.6667  0.3333  3 Na 3.45
Na  0.5000  0.0000  0.3932  2 Na 3.45, 2 K 3.85
K  0.5000  0.2412  0.2412  3 Na 3.85-4.10
K  0.5000  0.7588  0.0000  3 Na 3.85-4.10
K  0.5000  0.0000  0.7588  3 Na 3.85-4.10
Rb  0.0000  0.4897  0.0000  2 Na 3.89
Rb  0.0000  0.5103  0.5103  2 Na 3.89
Rb  0.0000  0.0000  0.4897  2 Na 3.89

---

DFT (GGA-PBE) results for a geometry-optimized La17Zn12 structure.

Output
M_tot ... 0.00 μB per cell
DOS(E_F) ... 27.32 states/eV/cell
DFT formation energy ... -5.62 eV per formula unit
Crystal system ... cubic
Calculated volume ... 764 Å³ per cell
Space group ... I-43m (217)

Lattice parameters (Å, degrees): 9.9743 9.9743 9.9743 109.47 109.47 109.47
Last column: nearest neighbours and their distance in Å.
Element x y z (fractional)
Zn  0.1712  0.8101  0.1712  3 Zn 2.79-3.09
Zn  0.3612  0.1899  0.3612  3 Zn 2.79-3.09
Zn  0.0000  0.8288  0.6388  3 Zn 2.79-3.09
Zn  0.8288  0.6388  0.0000  3 Zn 2.79-3.09
Zn  0.3612  0.3612  0.1899  3 Zn 2.79-3.09
Zn  0.8288  0.0000  0.6388  3 Zn 2.79-3.09
Zn  0.6388  0.0000  0.8288  3 Zn 2.79-3.09
Zn  0.1899  0.3612  0.3612  3 Zn 2.79-3.09
Zn  0.8101  0.1712  0.1712  3 Zn 2.79-3.09
Zn  0.1712  0.1712  0.8101  3 Zn 2.79-3.09
Zn  0.0000  0.6388  0.8288  3 Zn 2.79-3.09
Zn  0.6388  0.8288  0.0000  3 Zn 2.79-3.09
La  0.7179  0.4230  0.4230  1 La 3.12, 4 Zn 3.24-3.39
La  0.3356  0.0000  0.0000  4 La 3.12-3.35, 6 Zn 3.34
La  0.7051  0.7051  0.2821  1 La 3.12, 4 Zn 3.24-3.39
La  0.2821  0.7051  0.7051  1 La 3.12, 4 Zn 3.24-3.39
La  0.6644  0.6644  0.6644  4 La 3.12-3.35, 6 Zn 3.34
La  0.0000  0.2949  0.5770  1 La 3.12, 4 Zn 3.24-3.39
La  0.2949  0.0000  0.5770  1 La 3.12, 4 Zn 3.24-3.39
La  0.0000  0.0000  0.3356  4 La 3.12-3.35, 6 Zn 3.34
La  0.7051  0.2821  0.7051  1 La 3.12, 4 Zn 3.24-3.39
La  0.0000  0.5770  0.2949  1 La 3.12, 4 Zn 3.24-3.39
La  0.4230  0.7179  0.4230  1 La 3.12, 4 Zn 3.24-3.39
La  0.0000  0.3356  0.0000  4 La 3.12-3.35, 6 Zn 3.34
La  0.2949  0.5770  0.0000  1 La 3.12, 4 Zn 3.24-3.39
La  0.5770  0.0000  0.2949  1 La 3.12, 4 Zn 3.24-3.39
La  0.5770  0.2949  0.0000  1 La 3.12, 4 Zn 3.24-3.39
La  0.4230  0.4230  0.7179  1 La 3.12, 4 Zn 3.24-3.39
La  0.0000  0.0000  0.0000  4 La 3.35, 12 Zn 3.43

---

DFT (GGA-PBE) results for a geometry-optimized CsPS2O structure.

Output
M_tot ... 0.95 μB per cell
DOS(E_F) ... 8.34 states/eV/cell
Crystal system ... tetragonal
Calculated volume ... 163 Å³ per cell
Space group ... P4/mmm (123)
Distance to the lowest polymorph of the same formula ... 8.79 eV/f.u.
Formation energy (no corrections) ... 2.076 eV per atom

Lattice parameters (Å, degrees): 5.3264 5.3264 5.7620 90.00 90.00 90.00
Last column: nearest neighbours and their distance in Å.
Element x y z (fractional)
S  0.5000  0.0000  0.0000  2 Cs 2.66
S  0.0000  0.5000  0.0000  2 Cs 2.66
P  0.0000  0.0000  0.5000  2 Cs 2.88
Cs  0.0000  0.0000  0.0000  4 S 2.66, 2 P 2.88
O  0.5000  0.5000  0.5000  4 P 3.77, 8 S 3.92

---

DFT (GGA-PBE) results for a geometry-optimized ZnTc2Sb structure.

Output
M_tot ... 0.00 μB per cell
DOS(E_F) ... 4.58 states/eV/cell
Crystal system ... tetragonal
Calculated volume ... 64 Å³ per cell
Space group ... I-4m2 (119)
Distance to the lowest polymorph of the same formula ... 0.82 eV/f.u.
Formation energy (no corrections) ... 0.307 eV per atom

Lattice parameters (Å, degrees): 4.9325 4.9325 4.9325 132.42 132.42 69.57
Last column: nearest neighbours and their distance in Å.
Element x y z (fractional)
Zn  0.5000  0.5000  0.0000  8 Tc 2.81-2.84, 4 Sb 2.84
Sb  0.7500  0.2500  0.5000  8 Tc 2.81-2.84, 4 Zn 2.84
Tc  0.0000  0.0000  0.0000  4 Zn 2.81, 4 Sb 2.84, 4 Tc 2.84
Tc  0.2500  0.7500  0.5000  4 Sb 2.81, 4 Tc 2.84, 4 Zn 2.84

---

DFT (GGA-PBE) results for a geometry-optimized Tm13Tl2 structure.

Output
M_tot ... 1.45 μB per cell
DOS(E_F) ... 22.53 states/eV/cell
DFT formation energy ... -0.81 eV per formula unit
Crystal system ... triclinic
Calculated volume ... 441 Å³ per cell
Space group ... P-1 (2)

Lattice parameters (Å, degrees): 6.6362 8.4322 8.7515 113.19 78.73 97.43
Last column: nearest neighbours and their distance in Å.
Element x y z (fractional)
Tl  0.0604  0.2304  0.3789  8 Tm 3.10-3.43
Tl  0.9396  0.7696  0.6211  8 Tm 3.10-3.43
Tm  0.6266  0.4097  0.6116  2 Tl 3.34-3.43, 10 Tm 3.43-3.64
Tm  0.2576  0.0602  0.5822  2 Tl 3.10-3.22, 2 Tm 3.37
Tm  0.5121  0.1455  0.2044  1 Tl 3.12, 3 Tm 3.44-3.47
Tm  0.8799  0.4818  0.2610  2 Tl 3.14-3.19, 7 Tm 3.33-3.50
Tm  0.3061  0.3452  0.9735  11 Tm 3.37-3.64
Tm  0.3734  0.5903  0.3884  2 Tl 3.34-3.43, 10 Tm 3.43-3.64
Tm  0.1996  0.7716  0.1508  10 Tm 3.25-3.63
Tm  0.4879  0.8545  0.7956  1 Tl 3.12, 3 Tm 3.44-3.47
Tm  0.0000  0.0000  0.0000  2 Tl 3.19, 6 Tm 3.25-3.50
Tm  0.1201  0.5182  0.7390  2 Tl 3.14-3.19, 7 Tm 3.33-3.50
Tm  0.8004  0.2284  0.8492  10 Tm 3.25-3.63
Tm  0.7424  0.9398  0.4178  2 Tl 3.10-3.22, 2 Tm 3.37
Tm  0.6939  0.6548  0.0265  11 Tm 3.37-3.64

---

DFT (GGA-PBE) results for a geometry-optimized CsTl2HCl4 structure.

Output
M_tot ... 0.00 μB per cell
DOS(E_F) ... 0.00 states/eV/cell
Uncorrected energy ... -3.143 eV/atom
Crystal system ... orthorhombic
Calculated volume ... 290 Å³ per cell
Space group ... Fmm2 (42)

Lattice parameters (Å, degrees): 6.4540 6.4540 8.3168 112.80 112.80 90.07
Last column: nearest neighbours and their distance in Å.
Element x y z (fractional)
Tl  0.7094  0.2094  0.5000  6 Cl 3.21-3.57
Tl  0.2094  0.7094  0.5000  6 Cl 3.21-3.57
Cl  0.2043  0.2043  0.4853  4 Tl 3.21-3.24, 1 Cs 3.41
Cl  0.7190  0.7190  0.5147  4 Tl 3.21-3.24, 1 Cs 3.41
Cl  0.4154  0.0744  0.0000  1 H 1.56
Cl  0.0744  0.4154  0.0000  1 H 1.56
H  0.2576  0.2576  0.0000  2 Cl 1.56
Cs  0.9077  0.9077  0.0000  1 H 3.19, 6 Cl 3.36-3.45

---

DFT (GGA-PBE) results for a geometry-optimized KSbCl4 structure.

Output
M_tot ... 0.00 μB per cell
DOS(E_F) ... 0.00 states/eV/cell
Crystal system ... monoclinic
Calculated volume ... 395 Å³ per cell
Space group ... C2/c (15)
Distance to the lowest polymorph of the same formula ... 0.03 eV/f.u.
Formation energy (no corrections) ... -1.256 eV per atom

Lattice parameters (Å, degrees): 7.7451 7.0198 8.7632 107.94 110.98 102.09
Last column: nearest neighbours and their distance in Å.
Element x y z (fractional)
Cl  0.9592  0.2736  0.1114  1 Sb 2.46
Cl  0.0408  0.7264  0.8886  1 Sb 2.46
Cl  0.1940  0.9819  0.3977  1 Sb 2.70
Cl  0.7037  0.4159  0.3977  1 Sb 2.70
Cl  0.8060  0.0181  0.6023  1 Sb 2.70
Cl  0.2963  0.5841  0.6023  1 Sb 2.70
Cl  0.3478  0.1622  0.8886  1 Sb 2.46
Cl  0.6522  0.8378  0.1114  1 Sb 2.46
K  0.6194  0.3694  0.7389  6 Cl 3.18-3.37
K  0.3806  0.6306  0.2611  6 Cl 3.18-3.37
Sb  0.9236  0.1736  0.3471  4 Cl 2.46-2.70
Sb  0.0764  0.8264  0.6529  4 Cl 2.46-2.70

---

DFT (GGA-PBE) results for a geometry-optimized SiTc2Ru structure.

Output
M_tot ... 0.00 μB per cell
DOS(E_F) ... 6.50 states/eV/cell
Crystal system ... tetragonal
Calculated volume ... 163 Å³ per cell
Space group ... I-42d (122)
Formation energy (no corrections) ... 0.980 eV per atom

Lattice parameters (Å, degrees): 5.6045 5.6045 6.5293 64.58 64.58 90.00
Last column: nearest neighbours and their distance in Å.
Element x y z (fractional)
Si  0.5000  0.5000  0.0000  4 Tc 2.37
Si  0.2500  0.7500  0.5000  4 Tc 2.37
Tc  0.1253  0.6250  0.2500  2 Si 2.37, 2 Ru 2.37
Tc  0.3750  0.3753  0.7500  2 Si 2.37, 2 Ru 2.37
Tc  0.6247  0.1250  0.2500  2 Si 2.37, 2 Ru 2.37
Tc  0.8750  0.8747  0.7500  2 Si 2.37, 2 Ru 2.37
Ru  0.7500  0.2500  0.5000  4 Tc 2.37
Ru  0.0000  0.0000  0.0000  4 Tc 2.37

---

DFT (GGA-PBE) results for a geometry-optimized KZrTa2 structure.

Output
M_tot ... 0.00 μB per cell
DOS(E_F) ... 3.90 states/eV/cell
DFT formation energy ... 3.48 eV per formula unit
Crystal system ... monoclinic
Calculated volume ... 115 Å³ per cell
Space group ... C2/m (12)
Distance to the lowest polymorph of the same formula ... 1.32 eV/f.u.

Lattice parameters (Å, degrees): 5.3525 5.3525 7.4783 87.82 87.82 32.52
Last column: nearest neighbours and their distance in Å.
Element x y z (fractional)
Zr  0.7500  0.7500  0.7500  6 Ta 2.95-3.03, 2 Zr 3.00
Ta  0.4871  0.4871  0.6039  2 Ta 2.67, 1 Zr 2.95
Ta  0.0129  0.0129  0.8961  2 Ta 2.67, 1 Zr 2.95
K  0.2500  0.2500  0.2500  2 K 3.00